## TaAuSe2 (PBE)

Data for crystalline TaAuSe2 at its relaxed geometry.

Lattice parameters (Å, degrees): 3.3705 3.3705 26.6146 90.00 90.00 120.00
With the nearest neighbours (Å) after each atom.
Space group R3m (No. 160, hexagonal axes)
Asymmetric unit:
Ta 0.0000 0.0000 0.0000 x3  3 Se 2.58, 3 Au 2.81
Au 0.0000 0.0000 0.7429 x3  3 Se 2.75, 3 Ta 2.81
Se 0.0000 0.0000 0.2697 x3  3 Ta 2.58
Se 0.0000 0.0000 0.4824 x3  3 Au 2.75

Output
volume = 21.8 Å³ per atom
formation energy without anion corrections = -0.10 eV/atom
DOS(E_F) = 11.6 states/eV/cell